Crystalline NaSmPd at its relaxed geometry, computed with PBE.

Calculated values
Energy above the most stable polymorph in this dataset, eV per atom: 0.394
Space-group type: No. 216
Calculated volume, Å³/f.u.: 81.3
Total magnetization, Bohr magnetons per cell: 0.00

Cell and atoms, written as POSCAR:
```
NaSmPd
1.0
0.000 3.438 3.438
3.438 0.000 3.438
3.438 3.438 0.000
Na Sm Pd
1 1 1
Cartesian
0.000 0.000 0.000
1.719 1.719 1.719
3.438 3.438 3.438
```